# DyPu2Pb9 (GGA-PBE, optimized geometry)
data_DyPu2Pb9
_chemical_formula_sum 'Dy1 Pu2 Pb9'
_cell_length_a 5.635
_cell_length_b 5.635
_cell_length_c 11.220
_cell_angle_alpha 90.00
_cell_angle_beta 90.00
_cell_angle_gamma 90.00
_space_group_name_H-M_alt 'P 4/m m m'
_space_group_IT_number 123
_space_group_name_Hall '-P 4 2'
loop_
_atom_site_label
_atom_site_type_symbol
_atom_site_fract_x
_atom_site_fract_y
_atom_site_fract_z
Dy1 Dy 0.000 0.000 0.000
Pu1 Pu 0.000 0.000 0.332
Pb1 Pb 0.000 0.500 0.162
Pb2 Pb 0.000 0.500 0.500
Pb3 Pb 0.500 0.500 0.000
Pb4 Pb 0.500 0.500 0.331
# calculated formation energy: -0.101 eV per atom
# magnetic moment: 11.39 μB per formula unit
# N(E_F): 24.74 states/eV per cell
# calculated density: 11.723 g cm⁻³